Material: Pm2In3Ag4
Method: DFT, PBE-GGA
State: relaxed

Geometry as POSCAR:
```
Pm2In3Ag4
1.0
6.144 0.000 0.000
0.000 8.129 0.000
-3.072 0.000 8.458
Pm In Ag
4 6 8
Direct
0.101 0.602 0.201 Pm
0.899 0.398 0.799 Pm
0.399 0.102 0.799 Pm
0.601 0.898 0.201 Pm
0.000 0.000 0.000 In
0.500 0.500 0.000 In
0.511 0.750 0.522 In
0.989 0.250 0.478 In
0.489 0.250 0.478 In
0.011 0.750 0.522 In
0.682 0.750 0.863 Ag
0.818 0.250 0.137 Ag
0.318 0.250 0.137 Ag
0.182 0.750 0.863 Ag
0.169 0.986 0.337 Ag
0.831 0.014 0.663 Ag
0.331 0.486 0.663 Ag
0.669 0.514 0.337 Ag
```

As for the energy of formation: -0.251 eV per atom. For the density of states at the Fermi level, the calculation gives 6.74 states/eV/f.u. As for the distance to the lowest polymorph of the same formula: 0.94 kcal/mol of atoms.